# 1
Crystalline La2TeO6 at its relaxed geometry. Source: the Alexandria database, functional GGA-PBE.

Unit cell a=5.6468 b=5.6468 c=5.6468 alpha=63.35 beta=63.35 gamma=63.35
Closest atoms and distances in Å follow each position.
Fractional coordinates of all 9 atoms:
La: 0.2474 0.2474 0.2474  3 O 2.38
La: 0.7526 0.7526 0.7526  3 O 2.38
Te: 0.0000 0.0000 0.0000  6 O 1.94
O: 0.1259 0.3271 0.7961  1 Te 1.94
O: 0.2039 0.8741 0.6729  1 Te 1.94
O: 0.3271 0.7961 0.1259  1 Te 1.94
O: 0.6729 0.2039 0.8741  1 Te 1.94
O: 0.7961 0.1259 0.3271  1 Te 1.94
O: 0.8741 0.6729 0.2039  1 Te 1.94

Calculated values
ρ   6.09 g cm⁻³
Raw total energy   -7.189 eV per atom
Total magnetization   0.0 μB per formula unit
Distance to the lowest polymorph of the same formula   0.099 eV/atom
Formation energy without anion corrections   -2.439 eV per atom



# 2
Crystalline LaTeO at its relaxed geometry. Source: the Alexandria database, functional GGA-PBE.

Unit cell a=7.1569 b=7.1569 c=5.7767 alpha=108.83 beta=108.83 gamma=34.23
Closest atoms and distances in Å follow each position.
Fractional coordinates of all 6 atoms:
La: 0.1797 0.1797 0.2420  3 O 2.30-2.34
La: 0.8203 0.8203 0.7580  3 O 2.30-2.34
Te: 0.4738 0.4738 0.2268  2 Te 2.94-2.99
Te: 0.5262 0.5262 0.7732  2 Te 2.94-2.99
O: 0.2431 0.2431 0.6653  3 La 2.30-2.34
O: 0.7569 0.7569 0.3347  3 La 2.30-2.34

Calculated values
ρ   5.99 g cm⁻³
Raw total energy   -6.654 eV per atom
Total magnetization   0.0 μB per formula unit
Formation energy without anion corrections   -2.311 eV per atom



# 3
Crystalline La4Ti5Te3O24 at its relaxed geometry. Source: the Alexandria database, functional GGA-PBE.

Unit cell a=7.3087 b=7.4064 c=10.4552 alpha=108.82 beta=110.15 gamma=91.19
Closest atoms and distances in Å follow each position.
Fractional coordinates of all 36 atoms:
La: 0.0000 0.0000 0.0000  6 O 2.40-2.52
La: 0.0135 0.4834 0.4999  6 O 2.43-2.53
La: 0.4388 0.0298 0.4761  6 O 2.37-2.59
La: 0.4557 0.5122 0.9670  6 O 2.39-2.53
Ti: 0.0472 0.5890 0.1371  3 O 1.79-2.00
Ti: 0.0652 0.0466 0.6530  3 O 1.82-1.94
Ti: 0.4115 0.9433 0.8369  6 O 1.91-2.08
Ti: 0.5618 0.1048 0.1518  5 O 1.88-2.03
Ti: 0.5638 0.6234 0.6680  5 O 1.86-2.08
Te: 0.4061 0.4476 0.3256  6 O 1.92-1.98
Te: 0.8756 0.9164 0.3165  3 O 1.97-2.04
Te: 0.8935 0.4008 0.8016  6 O 1.94-1.98
O: 0.0303 0.6490 0.9587  1 Te 1.98, 1 Ti 2.02
O: 0.0453 0.1429 0.4809  1 Te 1.97, 1 Ti 2.10
O: 0.1286 0.4784 0.2966  1 Te 1.97, 1 Ti 2.00
O: 0.1374 0.9703 0.8177  2 Ti 1.89-1.96
O: 0.1385 0.8506 0.2578  1 Ti 1.89
O: 0.1387 0.3501 0.7732  1 Te 1.94, 1 Ti 2.14
O: 0.3148 0.1815 0.1856  1 Te 1.97, 1 Ti 2.01
O: 0.3297 0.6553 0.7017  2 Ti 1.87-2.08
O: 0.3412 0.0402 0.6800  2 Ti 1.91-1.94
O: 0.3556 0.5527 0.1727  1 Te 1.92
O: 0.4146 0.3612 0.4855  1 Te 1.96, 1 Ti 2.17
O: 0.4459 0.8615 0.0090  2 Ti 1.88-2.02
O: 0.5074 0.6962 0.4894  1 Te 1.98, 1 Ti 2.02
O: 0.5229 0.1889 0.9904  2 Ti 1.92
O: 0.6145 0.0051 0.3193  1 Ti 2.03, 1 Te 2.04
O: 0.6281 0.4530 0.7927  1 Te 1.96, 1 Ti 2.04
O: 0.6601 0.3875 0.3204  1 Te 1.93
O: 0.6652 0.8653 0.8126  2 Ti 1.86-2.03
O: 0.7960 0.6009 0.1221  1 Ti 1.79
O: 0.7993 0.1409 0.6588  1 Te 1.95, 1 Ti 2.09
O: 0.8293 0.5335 0.6608  1 Te 1.96, 1 Ti 2.08
O: 0.8350 0.0723 0.1826  1 Ti 1.94, 1 Te 2.04
O: 0.9565 0.3126 0.9654  1 Te 1.94, 1 Ti 2.15
O: 0.9560 0.8103 0.5132  1 Ti 1.82

Calculated values
ρ   5.21 g cm⁻³
Raw total energy   -7.825 eV per atom
Total magnetization   0.0 μB per formula unit
Formation energy without anion corrections   -2.614 eV per atom



# 4
Crystalline LaTiTeO6 at its relaxed geometry. Source: the Alexandria database, functional GGA-PBE.

Unit cell a=5.3409 b=5.3409 c=5.1840 alpha=90.00 beta=90.00 gamma=120.00
Closest atoms and distances in Å follow each position.
Fractional coordinates of all 9 atoms:
La: 0.0000 0.0000 0.0000  6 O 2.47
Ti: 0.3333 0.6667 0.5000  6 O 2.00
Te: 0.6667 0.3333 0.5000  6 O 2.04
O: 0.0065 0.3745 0.2857  1 Ti 2.00, 1 Te 2.04
O: 0.0065 0.6321 0.7143  1 Ti 2.00, 1 Te 2.04
O: 0.3679 0.3745 0.7143  1 Ti 2.00, 1 Te 2.04
O: 0.3679 0.9935 0.2857  1 Ti 2.00, 1 Te 2.04
O: 0.6255 0.6321 0.2857  1 Ti 2.00, 1 Te 2.04
O: 0.6255 0.9935 0.7143  1 Ti 2.00, 1 Te 2.04

Calculated values
ρ   5.32 g cm⁻³
Raw total energy   -7.452 eV per atom
Total magnetization   0.0 μB per formula unit
Formation energy without anion corrections   -2.372 eV per atom



# 5
Crystalline La2Ti2Te2O5 at its relaxed geometry. Source: the Alexandria database, functional GGA-PBE.

Unit cell a=13.9767 b=13.9767 c=13.9767 alpha=163.69 beta=163.69 gamma=23.15
Closest atoms and distances in Å follow each position.
Fractional coordinates of all 11 atoms:
La: 0.1382 0.1382 0.0000  4 O 2.52
La: 0.8618 0.8618 0.0000  4 O 2.52
Ti: 0.4339 0.4339 0.0000  1 O 1.81
Ti: 0.5661 0.5661 0.0000  1 O 1.81
Te: 0.3045 0.3045 0.0000  4 La 3.21, 1 Ti 3.54
Te: 0.6955 0.6955 0.0000  4 La 3.21, 1 Ti 3.54
O: 0.0817 0.5817 0.5000  2 Ti 2.03
O: 0.4183 0.9183 0.5000  2 Ti 2.03
O: 0.5000 0.5000 0.0000  2 Ti 1.81
O: 0.5817 0.0817 0.5000  2 Ti 2.03
O: 0.9183 0.4183 0.5000  2 Ti 2.03

Calculated values
ρ   5.47 g cm⁻³
Raw total energy   -7.806 eV per atom
Total magnetization   0.0 μB per formula unit
Formation energy without anion corrections   -2.650 eV per atom



# 6
Crystalline LaTiTeO6 at its relaxed geometry. Source: the Alexandria database, functional GGA-PBE.

Unit cell a=5.3418 b=5.3418 c=10.3646 alpha=90.00 beta=90.00 gamma=120.00
Closest atoms and distances in Å follow each position.
Fractional coordinates of all 18 atoms:
La: 0.0000 0.0000 0.0000  6 O 2.48
La: 0.0000 0.0000 0.5000  6 O 2.48
Ti: 0.3333 0.6667 0.2500  6 O 2.00
Ti: 0.6667 0.3333 0.7500  6 O 2.00
Te: 0.3333 0.6667 0.7500  6 O 2.05
Te: 0.6667 0.3333 0.2500  6 O 2.05
O: 0.0068 0.3750 0.1426  1 Ti 2.00, 1 Te 2.05
O: 0.0068 0.6318 0.3574  1 Ti 2.00, 1 Te 2.05
O: 0.3682 0.3750 0.3574  1 Ti 2.00, 1 Te 2.05
O: 0.3682 0.9932 0.1426  1 Ti 2.00, 1 Te 2.05
O: 0.3750 0.0068 0.6426  1 Ti 2.00, 1 Te 2.05
O: 0.3750 0.3682 0.8574  1 Ti 2.00, 1 Te 2.05
O: 0.6250 0.6318 0.1426  1 Ti 2.00, 1 Te 2.05
O: 0.6250 0.9932 0.3574  1 Ti 2.00, 1 Te 2.05
O: 0.6318 0.0068 0.8574  1 Ti 2.00, 1 Te 2.05
O: 0.6318 0.6250 0.6426  1 Ti 2.00, 1 Te 2.05
O: 0.9932 0.3682 0.6426  1 Ti 2.00, 1 Te 2.05
O: 0.9932 0.6250 0.8574  1 Ti 2.00, 1 Te 2.05

Calculated values
ρ   5.32 g cm⁻³
Raw total energy   -7.451 eV per atom
Total magnetization   0.0 μB per formula unit
Formation energy without anion corrections   -2.372 eV per atom



# 7
Crystalline LaTlTeO2 at its relaxed geometry. Source: the Alexandria database, functional GGA-PBE.

Unit cell a=4.5125 b=4.5125 c=5.6246 alpha=90.00 beta=90.00 gamma=90.00
Closest atoms and distances in Å follow each position.
Fractional coordinates of all 5 atoms:
La: 0.0000 0.0000 0.0000  4 Te 3.19
Tl: 0.5000 0.5000 0.5000  4 O 2.26
Te: 0.5000 0.5000 0.0000  2 Tl 2.81
O: 0.0000 0.5000 0.5000  2 Tl 2.26
O: 0.5000 0.0000 0.5000  2 Tl 2.26

Calculated values
ρ   7.29 g cm⁻³
Raw total energy   -4.820 eV per atom
Total magnetization   0.0 μB per formula unit
Formation energy without anion corrections   -0.750 eV per atom



# 8
Crystalline La2Tl2TeO6 at its relaxed geometry. Source: the Alexandria database, functional GGA-PBE.

Unit cell a=6.2732 b=6.2732 c=6.8013 alpha=98.19 beta=98.19 gamma=119.44
Closest atoms and distances in Å follow each position.
Fractional coordinates of all 11 atoms:
La: 0.1654 0.8346 0.0000  6 O 2.42-2.48
La: 0.8346 0.1654 0.0000  6 O 2.42-2.48
Tl: 0.3390 0.6610 0.5000  6 O 2.89-3.18
Tl: 0.6610 0.3390 0.5000  6 O 2.89-3.18
Te: 0.5000 0.5000 0.0000  6 O 2.23-2.24
O: 0.1376 0.4515 0.8341  1 Te 2.24, 2 La 2.42-2.44
O: 0.2537 0.2537 0.1787  1 Te 2.23, 2 La 2.48
O: 0.4515 0.1376 0.8341  1 Te 2.24, 2 La 2.42-2.44
O: 0.5485 0.8624 0.1659  1 Te 2.24, 2 La 2.42-2.44
O: 0.7463 0.7463 0.8213  1 Te 2.23, 2 La 2.48
O: 0.8624 0.5485 0.1659  1 Te 2.24, 2 La 2.42-2.44

Calculated values
ρ   6.76 g cm⁻³
Raw total energy   -6.209 eV per atom
Total magnetization   0.0 μB per formula unit
Formation energy without anion corrections   -1.893 eV per atom